[1]
{"formula": "Pr2Dy2CBr2Cl3", "functional": "GGA-PBE", "state": "optimized geometry", "vol_a3_per_atom": 25.85, "final_energy_ev_per_atom": -5.260, "lattice_angstrom": [[-1.6372, -3.7103, -8.0518], [1.4869, -5.5587, -6.9404], [-4.3724, -4.3906, 4.9887]], "species": ["Br", "Br", "C", "Cl", "Cl", "Cl", "Dy", "Dy", "Pr", "Pr"], "fractional_positions": [[0.1620, 0.1620, 0.3720], [0.8380, 0.8380, 0.6280], [0.5000, 0.5000, 0.0000], [0.8360, 0.8360, 0.1808], [0.5000, 0.5000, 0.5000], [0.1640, 0.1640, 0.8192], [0.9982, 0.9982, 0.2082], [0.0018, 0.0018, 0.7918], [0.6481, 0.6481, 0.0815], [0.3519, 0.3519, 0.9185]]}

[2]
{"formula": "Pr2Dy2CBr2Cl3", "functional": "GGA-PBE", "state": "optimized geometry", "vol_a3_per_atom": 26.22, "final_energy_ev_per_atom": -5.268, "lattice_angstrom": [[8.9922, -1.8933, 0.0000], [8.9922, 1.8933, 0.0000], [-1.8800, 0.0000, 7.6997]], "species": ["Br", "Br", "C", "Cl", "Cl", "Cl", "Dy", "Dy", "Pr", "Pr"], "fractional_positions": [[0.8339, 0.8339, 0.1966], [0.1661, 0.1661, 0.8034], [0.5000, 0.5000, 0.0000], [0.1528, 0.1528, 0.3546], [0.5000, 0.5000, 0.5000], [0.8472, 0.8472, 0.6454], [0.9996, 0.9996, 0.2093], [0.0004, 0.0004, 0.7907], [0.6454, 0.6454, 0.0843], [0.3546, 0.3546, 0.9157]]}

[3]
{"formula": "Pr2Dy2CBr2Cl3", "functional": "GGA-PBE", "state": "optimized geometry", "vol_a3_per_atom": 27.39, "final_energy_ev_per_atom": -5.269, "lattice_angstrom": [[-5.4501, -4.8040, 5.2458], [-2.1163, -6.7733, 5.4720], [2.9409, 5.5887, 5.3123]], "species": ["Br", "Br", "C", "Cl", "Cl", "Cl", "Dy", "Dy", "Pr", "Pr"], "fractional_positions": [[0.1713, 0.1713, 0.3296], [0.8287, 0.8287, 0.6704], [0.5000, 0.5000, 0.0000], [0.8241, 0.8241, 0.1409], [0.5000, 0.5000, 0.5000], [0.1759, 0.1759, 0.8591], [0.6405, 0.6405, 0.0709], [0.3595, 0.3595, 0.9291], [0.9963, 0.9963, 0.2128], [0.0037, 0.0037, 0.7872]]}

[4]
{"formula": "Pr2Dy2CBrCl4", "functional": "GGA-PBE", "state": "optimized geometry", "vol_a3_per_atom": 25.86, "final_energy_ev_per_atom": -5.342, "lattice_angstrom": [[8.7556, -1.8972, 0.0000], [8.7556, 1.8972, 0.0000], [-2.1450, 0.0000, 7.7838]], "species": ["Br", "C", "Cl", "Cl", "Cl", "Cl", "Dy", "Dy", "Pr", "Pr"], "fractional_positions": [[0.5000, 0.5000, 0.5000], [0.5000, 0.5000, 0.0000], [0.8360, 0.8360, 0.1732], [0.1588, 0.1588, 0.3557], [0.8412, 0.8412, 0.6443], [0.1640, 0.1640, 0.8268], [0.9996, 0.9996, 0.2036], [0.0004, 0.0004, 0.7964], [0.6501, 0.6501, 0.0891], [0.3499, 0.3499, 0.9109]]}

[5]
{"formula": "Pr2Dy2CBr2Cl3", "functional": "GGA-PBE", "state": "optimized geometry", "vol_a3_per_atom": 27.82, "final_energy_ev_per_atom": -5.270, "lattice_angstrom": [[-2.0212, -2.4845, 8.5968], [1.2170, -4.4942, 7.9047], [4.4615, 6.8030, 1.1203]], "species": ["Br", "Br", "C", "Cl", "Cl", "Cl", "Dy", "Dy", "Pr", "Pr"], "fractional_positions": [[0.8256, 0.8256, 0.1633], [0.1744, 0.1744, 0.8367], [0.5000, 0.5000, 0.0000], [0.1644, 0.1644, 0.3094], [0.5000, 0.5000, 0.5000], [0.8356, 0.8356, 0.6906], [0.6375, 0.6375, 0.0707], [0.3625, 0.3625, 0.9293], [0.0000, 0.0000, 0.2154], [0.0000, 0.0000, 0.7846]]}

[6]
{"formula": "Dy2Sc2CBr3Cl2", "functional": "GGA-PBE", "state": "optimized geometry", "vol_a3_per_atom": 25.19, "final_energy_ev_per_atom": -5.511, "lattice_angstrom": [[-4.0366, -7.1923, -3.2255], [-1.1937, -6.8117, -5.5320], [4.9609, -3.1172, 5.6005]], "species": ["Br", "Br", "Br", "C", "Cl", "Cl", "Dy", "Dy", "Sc", "Sc"], "fractional_positions": [[0.8292, 0.8292, 0.1542], [0.5000, 0.5000, 0.5000], [0.1708, 0.1708, 0.8458], [0.5000, 0.5000, 0.0000], [0.1615, 0.1615, 0.2988], [0.8385, 0.8385, 0.7012], [0.0004, 0.0004, 0.2025], [0.9996, 0.9996, 0.7975], [0.6326, 0.6326, 0.0679], [0.3674, 0.3674, 0.9321]]}

[7]
{"formula": "Dy2Sc2CBr4Cl", "functional": "GGA-PBE", "state": "optimized geometry", "vol_a3_per_atom": 23.93, "final_energy_ev_per_atom": -5.388, "lattice_angstrom": [[-5.4759, 1.7921, 6.7769], [-5.4190, -1.8849, 6.7974], [6.9118, 0.1256, 3.3331]], "species": ["Br", "Br", "Br", "Br", "C", "Cl", "Dy", "Dy", "Sc", "Sc"], "fractional_positions": [[0.8340, 0.8340, 0.1903], [0.1597, 0.1597, 0.3550], [0.8403, 0.8403, 0.6450], [0.1660, 0.1660, 0.8097], [0.5000, 0.5000, 0.0000], [0.5000, 0.5000, 0.5000], [0.6390, 0.6390, 0.0721], [0.3610, 0.3610, 0.9279], [0.0001, 0.0001, 0.1977], [0.9999, 0.9999, 0.8023]]}

[8]
{"formula": "Dy2Sc2CBr3Cl2", "functional": "GGA-PBE", "state": "optimized geometry", "vol_a3_per_atom": 23.49, "final_energy_ev_per_atom": -5.476, "lattice_angstrom": [[8.4548, -1.8421, 0.0000], [8.4548, 1.8421, 0.0000], [-1.7790, 0.0000, 7.5407]], "species": ["Br", "Br", "Br", "C", "Cl", "Cl", "Dy", "Dy", "Sc", "Sc"], "fractional_positions": [[0.1638, 0.1638, 0.3520], [0.5000, 0.5000, 0.5000], [0.8362, 0.8362, 0.6480], [0.5000, 0.5000, 0.0000], [0.8343, 0.8343, 0.1713], [0.1657, 0.1657, 0.8287], [0.6429, 0.6429, 0.0720], [0.3571, 0.3571, 0.9280], [0.9992, 0.9992, 0.1930], [0.0008, 0.0008, 0.8070]]}

[9]
{"formula": "Dy2Sc2CBr4Cl", "functional": "GGA-PBE", "state": "optimized geometry", "vol_a3_per_atom": 25.20, "final_energy_ev_per_atom": -5.439, "lattice_angstrom": [[8.9480, -1.8435, 0.0000], [8.9480, 1.8435, 0.0000], [-1.6677, 0.0000, 7.6382]], "species": ["Br", "Br", "Br", "Br", "C", "Cl", "Dy", "Dy", "Sc", "Sc"], "fractional_positions": [[0.8333, 0.8333, 0.1616], [0.1635, 0.1635, 0.3270], [0.8365, 0.8365, 0.6730], [0.1667, 0.1667, 0.8384], [0.5000, 0.5000, 0.0000], [0.5000, 0.5000, 0.5000], [0.9994, 0.9994, 0.2105], [0.0006, 0.0006, 0.7895], [0.6280, 0.6280, 0.0654], [0.3720, 0.3720, 0.9346]]}

[10]
{"formula": "Dy2Sc2CBr3Cl2", "functional": "GGA-PBE", "state": "optimized geometry", "vol_a3_per_atom": 23.71, "final_energy_ev_per_atom": -5.485, "lattice_angstrom": [[-3.0172, -1.1619, -8.1833], [-1.7989, -4.5235, -7.3295], [-6.2601, -1.1682, 4.3333]], "species": ["Br", "Br", "Br", "C", "Cl", "Cl", "Dy", "Dy", "Sc", "Sc"], "fractional_positions": [[0.8325, 0.8325, 0.1877], [0.5000, 0.5000, 0.5000], [0.1675, 0.1675, 0.8123], [0.5000, 0.5000, 0.0000], [0.1550, 0.1550, 0.3376], [0.8450, 0.8450, 0.6624], [0.6406, 0.6406, 0.0778], [0.3594, 0.3594, 0.9222], [0.0004, 0.0004, 0.1949], [0.9996, 0.9996, 0.8051]]}